(1)
# PBE CeMgH8Rh2, optimized geometry
# VASP energy = -52.05 eV per formula unit
data_CeMgH8Rh2
_chemical_formula_sum 'Ce3 Mg3 H24 Rh6'
_cell_length_a 4.8144
_cell_length_b 4.8144
_cell_length_c 16.8274
_cell_angle_alpha 90.00
_cell_angle_beta 90.00
_cell_angle_gamma 120.00
_symmetry_space_group_name_H-M 'R -3'
_symmetry_Int_Tables_number 148
_symmetry_space_group_name_Hall '-R 3'
loop_
_atom_site_label
_atom_site_fract_x
_atom_site_fract_y
_atom_site_fract_z
Ce1 0.0000 0.0000 0.0000
Mg1 0.0000 0.0000 0.5000
H1 0.0000 0.0000 0.3038
H2 0.0201 0.2807 0.8830
Rh1 0.0000 0.0000 0.2001



(2)
# PBE Ce2MgTcH6, optimized geometry
# VASP energy = -47.01 eV per formula unit
data_Ce2MgTcH6
_chemical_formula_sum 'Ce2 Mg1 Tc1 H6'
_cell_length_a 4.7654
_cell_length_b 4.7654
_cell_length_c 6.7790
_cell_angle_alpha 90.00
_cell_angle_beta 90.00
_cell_angle_gamma 120.00
_symmetry_space_group_name_H-M 'P -3 m 1'
_symmetry_Int_Tables_number 164
_symmetry_space_group_name_Hall '-P 3 2"'
loop_
_atom_site_label
_atom_site_fract_x
_atom_site_fract_y
_atom_site_fract_z
Ce1 0.3333 0.6667 0.2013
Mg1 0.0000 0.0000 0.5000
Tc1 0.0000 0.0000 0.0000
H1 0.1787 0.3574 0.8544



(3)
# PBE CeMgZn2H8, optimized geometry
# VASP energy = -37.88 eV per formula unit
data_CeMgZn2H8
_chemical_formula_sum 'Ce3 Mg3 Zn6 H24'
_cell_length_a 4.6100
_cell_length_b 4.6100
_cell_length_c 19.3974
_cell_angle_alpha 90.00
_cell_angle_beta 90.00
_cell_angle_gamma 120.00
_symmetry_space_group_name_H-M 'R -3'
_symmetry_Int_Tables_number 148
_symmetry_space_group_name_Hall '-R 3'
loop_
_atom_site_label
_atom_site_fract_x
_atom_site_fract_y
_atom_site_fract_z
Ce1 0.0000 0.0000 0.0000
Mg1 0.0000 0.0000 0.5000
Zn1 0.0000 0.0000 0.2451
H1 0.0000 0.0000 0.3325
H2 0.9996 0.2992 0.1070



(4)
# PBE CeMnH3, optimized geometry
# VASP energy = -26.62 eV per formula unit
data_CeMnH3
_chemical_formula_sum 'Ce1 Mn1 H3'
_cell_length_a 3.6338
_cell_length_b 3.6338
_cell_length_c 3.6338
_cell_angle_alpha 90.00
_cell_angle_beta 90.00
_cell_angle_gamma 90.00
_symmetry_space_group_name_H-M 'P m -3 m'
_symmetry_Int_Tables_number 221
_symmetry_space_group_name_Hall '-P 4 2 3'
loop_
_atom_site_label
_atom_site_fract_x
_atom_site_fract_y
_atom_site_fract_z
Ce1 0.0000 0.0000 0.0000
Mn1 0.5000 0.5000 0.5000
H1 0.0000 0.5000 0.5000